## NpInTe2 (PBE-GGA)

Data for a geometry-optimized NpInTe2 structure.

As for the raw formation energy: -453 meV per atom. Its total energy is -5.94 eV per atom. The value obtained for the volume is 420 Å³/cell. The calculation puts the magnetization at 12.00 μB/cell.

It has space group R3m (No. 160, hexagonal axes), with a = 4.3979 Å, b = 4.3979 Å, c = 25.0453 Å, α = 90.00°, β = 90.00° and γ = 120.00°. The distinct sites, in fractional coordinates, are Np at (0.0000, 0.0000, 0.0000), In at (0.0000, 0.0000, 0.8309), Te at (0.0000, 0.0000, 0.4057) and Te at (0.0000, 0.0000, 0.5946).